The following is a DFT calculation (GGA-PBE) of Pm2Y2Th after structural relaxation.

The structure belongs to space group P2/m (No. 10); the cell edges are 5.435, 3.546 and 8.966 Å and the angles 90.00°, 107.57° and 90.00°. Symmetry generates all atoms from Pm at (0.198, 0.000, 0.397), Y at (0.397, 0.500, 0.793) and Th at (0.000, 0.000, 0.000).

The value obtained for the relative energy among the computed polymorphs is 0.0 meV per atom. The calculation puts the formation energy at 0.051 eV/atom. For the volume, the calculation gives 32.94 A^3/atom.

***

The following is a DFT calculation (GGA-PBE) of Tb2Pm5Tm2 after structural relaxation.

The structure belongs to space group Ima2 (No. 46); the cell edges are 15.084, 12.855 and 6.185 Å and the angles 90.00°, 90.00° and 90.00°. Symmetry generates all atoms from Tb at (0.000, 0.000, 0.000), Tb at (0.250, 0.056, 0.868), Pm at (0.048, 0.199, 0.588), Pm at (0.144, 0.686, 0.431), Pm at (0.250, 0.177, 0.342) and Tm at (0.136, 0.550, 0.936).

The value obtained for the relative energy among the computed polymorphs is 152.8 meV per atom. The calculation puts the formation energy at 0.172 eV/atom. For the volume, the calculation gives 33.32 A^3/atom.

***

The following is a DFT calculation (GGA-PBE) of MgHg2B after structural relaxation.

The structure belongs to space group Fm-3m (No. 225); the cell edges are 6.686, 6.686 and 6.686 Å and the angles 90.00°, 90.00° and 90.00°. Symmetry generates all atoms from Mg at (0.000, 0.000, 0.000), Hg at (0.250, 0.250, 0.250) and B at (0.000, 0.000, 0.500).

The value obtained for the relative energy among the computed polymorphs is 159.0 meV per atom. The calculation puts the formation energy at 0.808 eV/atom. For the volume, the calculation gives 18.68 A^3/atom.

***

The following is a DFT calculation (GGA-PBE) of As3PdSe after structural relaxation.

The structure belongs to space group Pm-3m (No. 221); the cell edges are 4.944, 4.944 and 4.944 Å and the angles 90.00°, 90.00° and 90.00°. Symmetry generates all atoms from As at (0.000, 0.000, 0.500), Pd at (0.500, 0.500, 0.500) and Se at (0.000, 0.000, 0.000).

The value obtained for the relative energy among the computed polymorphs is 344.8 meV per atom. The calculation puts the energy relative to the elements, uncorrected at 0.992 eV/atom. For the volume, the calculation gives 24.17 A^3/atom.

***

The following is a DFT calculation (GGA-PBE) of MnV2Pd6 after structural relaxation.

The structure belongs to space group C2/c (No. 15); the cell edges are 12.647, 9.130 and 4.719 Å and the angles 90.00°, 99.30° and 90.00°. Symmetry generates all atoms from Mn at (0.000, 0.121, 0.250), V at (0.165, 0.372, 0.088), Pd at (0.058, 0.380, 0.524), Pd at (0.114, 0.134, 0.815) and Pd at (0.225, 0.120, 0.366).

The value obtained for the relative energy among the computed polymorphs is 31.7 meV per atom. The calculation puts the formation energy at -0.183 eV/atom. For the volume, the calculation gives 14.94 A^3/atom.

***

The following is a DFT calculation (GGA-PBE) of Cr2NiSe after structural relaxation.

The structure belongs to space group I-42d (No. 122); the cell edges are 6.674, 6.674 and 4.969 Å and the angles 90.00°, 90.00° and 90.00°. Symmetry generates all atoms from Cr at (0.245, 0.750, 0.125), Ni at (0.000, 0.000, 0.500) and Se at (0.000, 0.000, 0.000).

The calculation puts the energy relative to the elements, uncorrected at 0.454 eV/atom. For the volume, the calculation gives 13.83 A^3/atom.

***

The following is a DFT calculation (GGA-PBE) of K2Cr2I7 after structural relaxation.

The structure belongs to space group C2/m (No. 12); the cell edges are 8.899, 16.626 and 7.254 Å and the angles 90.00°, 102.37° and 90.00°. Symmetry generates all atoms from K at (0.000, 0.198, 0.000), Cr at (0.224, 0.000, 0.631), I at (0.000, 0.500, 0.500), I at (0.057, 0.000, 0.263) and I at (0.239, 0.343, 0.284).

The calculation puts the energy relative to the elements, uncorrected at -0.650 eV/atom. For the volume, the calculation gives 47.65 A^3/atom.

***

The following is a DFT calculation (GGA-PBE) of Be4As after structural relaxation.

The structure belongs to space group Pm-3m (No. 221); the cell edges are 4.235, 4.235 and 4.235 Å and the angles 90.00°, 90.00° and 90.00°. Symmetry generates all atoms from Be at (0.000, 0.000, 0.000), Be at (0.000, 0.500, 0.500) and As at (0.500, 0.500, 0.500).

The value obtained for the relative energy among the computed polymorphs is 792.5 meV per atom. The calculation puts the formation energy at 1.173 eV/atom. For the volume, the calculation gives 15.20 A^3/atom.

***

The following is a DFT calculation (GGA-PBE) of RbCrTeI6 after structural relaxation.

The structure belongs to space group P1 (No. 1); the cell edges are 7.620, 7.657 and 7.813 Å and the angles 94.18°, 94.57° and 109.64°. Symmetry generates all atoms from Rb at (0.000, 0.000, 0.000), Cr at (0.356, 0.645, 0.501), Te at (0.711, 0.288, 0.500), I at (0.082, 0.654, 0.271), I at (0.088, 0.376, 0.681), I at (0.350, 0.915, 0.734), I at (0.390, 0.357, 0.287), I at (0.623, 0.914, 0.321) and I at (0.647, 0.609, 0.713).

The calculation puts the energy relative to the elements, uncorrected at -0.451 eV/atom. For the volume, the calculation gives 47.28 A^3/atom.

***

The following is a DFT calculation (GGA-PBE) of KPPtO2 after structural relaxation.

The structure belongs to space group P4/mmm (No. 123); the cell edges are 3.911, 3.911 and 7.696 Å and the angles 90.00°, 90.00° and 90.00°. Symmetry generates all atoms from K at (0.000, 0.000, 0.000), P at (0.000, 0.000, 0.500), Pt at (0.500, 0.500, 0.500) and O at (0.000, 0.500, 0.000).

The value obtained for the relative energy among the computed polymorphs is 1484.8 meV per atom. The calculation puts the energy relative to the elements, uncorrected at 1.503 eV/atom. For the volume, the calculation gives 23.54 A^3/atom.

***

The following is a DFT calculation (GGA-PBE) of Nd2YPaSb5 after structural relaxation.

The structure belongs to space group P4/mmm (No. 123); the cell edges are 5.487, 5.487 and 11.619 Å and the angles 90.00°, 90.00° and 90.00°. Symmetry generates all atoms from Nd at (0.000, 0.000, 0.223), Y at (0.500, 0.500, 0.500), Pa at (0.500, 0.500, 0.000), Sb at (0.000, 0.000, 0.500), Sb at (0.000, 0.500, 0.000) and Sb at (0.500, 0.500, 0.254).

The calculation puts the energy relative to the elements, uncorrected at -0.214 eV/atom. For the volume, the calculation gives 38.87 A^3/atom.

***

The following is a DFT calculation (GGA-PBE) of BaZrRe2 after structural relaxation.

The structure belongs to space group Cm (No. 8); the cell edges are 9.967, 3.338 and 6.233 Å and the angles 90.00°, 103.60° and 90.00°. Symmetry generates all atoms from Ba at (0.000, 0.000, 0.000), Zr at (0.300, 0.500, 0.367), Re at (0.030, 0.500, 0.532) and Re at (0.214, 0.000, 0.649).

The value obtained for the relative energy among the computed polymorphs is 156.8 meV per atom. The calculation puts the formation energy at 0.678 eV/atom. For the volume, the calculation gives 25.20 A^3/atom.